Entry one
{"formula": "Dy2HoTm9", "functional": "PBE", "state": "optimized geometry", "volume_a3_per_fu": 361.8, "density_g_cm3": 9.23, "lattice": [[4.941, 0.000, 0.000], [0.000, 4.941, 0.000], [0.000, 0.000, 14.819]], "species": ["Dy", "Dy", "Ho", "Tm", "Tm", "Tm", "Tm", "Tm", "Tm", "Tm", "Tm", "Tm"], "frac_coords": [[0.000, 0.000, 0.167], [0.000, 0.000, 0.833], [0.000, 0.000, 0.500], [0.000, 0.500, 0.000], [0.000, 0.500, 0.334], [0.000, 0.500, 0.666], [0.500, 0.000, 0.000], [0.500, 0.000, 0.334], [0.500, 0.000, 0.666], [0.500, 0.500, 0.167], [0.500, 0.500, 0.500], [0.500, 0.500, 0.833]]}



Entry two
{"formula": "Dy2HoTm9", "functional": "PBE", "state": "optimized geometry", "volume_a3_per_fu": 364.7, "density_g_cm3": 9.15, "lattice": [[11.041, 0.000, 0.000], [-5.521, 9.562, 0.000], [0.000, 0.000, 3.454]], "species": ["Dy", "Dy", "Ho", "Tm", "Tm", "Tm", "Tm", "Tm", "Tm", "Tm", "Tm", "Tm"], "frac_coords": [[0.333, 0.667, 0.000], [0.667, 0.333, 0.000], [0.000, 0.000, 0.000], [0.000, 0.500, 0.000], [0.176, 0.353, 0.500], [0.176, 0.824, 0.500], [0.353, 0.176, 0.500], [0.500, 0.000, 0.000], [0.500, 0.500, 0.000], [0.647, 0.824, 0.500], [0.824, 0.176, 0.500], [0.824, 0.647, 0.500]]}



Stability, lowest: entry two



Entry one
{"formula": "Dy4Ho4Tm", "functional": "PBE", "state": "optimized geometry", "volume_a3_per_fu": 281.7, "density_g_cm3": 8.71, "lattice": [[8.246, -2.729, 0.000], [8.246, 2.729, 0.000], [-2.511, 0.000, 6.260]], "species": ["Dy", "Dy", "Dy", "Dy", "Ho", "Ho", "Ho", "Ho", "Tm"], "frac_coords": [[0.132, 0.132, 0.469], [0.282, 0.282, 0.207], [0.718, 0.718, 0.793], [0.868, 0.868, 0.531], [0.074, 0.074, 0.886], [0.363, 0.363, 0.795], [0.637, 0.637, 0.205], [0.926, 0.926, 0.114], [0.500, 0.500, 0.500]]}



Entry two
{"formula": "Dy4Ho4Tm", "functional": "PBE", "state": "optimized geometry", "volume_a3_per_fu": 277.5, "density_g_cm3": 8.85, "lattice": [[-5.284, 5.284, 2.485], [5.284, -5.284, 2.485], [5.284, 5.284, -2.485]], "species": ["Dy", "Dy", "Dy", "Dy", "Ho", "Ho", "Ho", "Ho", "Tm"], "frac_coords": [[0.000, 0.333, 0.333], [0.000, 0.667, 0.667], [0.333, 0.000, 0.333], [0.667, 0.000, 0.667], [0.334, 0.334, 0.667], [0.334, 0.666, 0.000], [0.666, 0.334, 0.000], [0.666, 0.666, 0.333], [0.000, 0.000, 0.000]]}



Stability, lowest: entry one